# BaTbCr2O8

A relaxed BaTbCr2O8 crystal (PBE+U, Alexandria via LeMat-Bulk).

**Total moment**: 1.00 μB per formula unit
**DFT total energy**: -7.19 eV/atom

Cell lengths 5.7108, 5.7108, 7.6633 Å; angles 90.00, 90.00, 120.00 degrees
Element x y z (fractional)
O (0.8302, 0.6596, 0.3027)
O (0.6596, 0.8294, 0.6973)
O (0.3333, 0.6667, 0.9846)
O (0.1706, 0.8302, 0.6973)
O (0.3404, 0.1706, 0.3027)
O (0.8294, 0.1698, 0.3027)
O (0.6667, 0.3333, 0.0154)
O (0.1698, 0.3404, 0.6973)
Cr (0.3333, 0.6667, 0.7687)
Cr (0.6667, 0.3333, 0.2313)
Tb (0.0000, 0.0000, 0.5000)
Ba (0.0000, 0.0000, 0.0000)


# BaCr2TcO8

A relaxed BaCr2TcO8 crystal (PBE+U, Alexandria via LeMat-Bulk).

**Total moment**: 5.00 μB per formula unit
**DFT total energy**: -7.21 eV/atom

Cell lengths 5.0586, 5.0577, 7.1595 Å; angles 77.76, 77.75, 73.94 degrees
Element x y z (fractional)
O (0.3466, 0.3480, 0.5233)
O (0.2316, 0.2330, 0.9281)
O (0.2263, 0.7584, 0.1979)
O (0.2427, 0.7746, 0.8017)
O (0.7737, 0.2416, 0.8021)
O (0.7684, 0.7670, 0.0719)
O (0.6534, 0.6520, 0.4767)
O (0.7573, 0.2254, 0.1983)
Ba (0.0000, 0.0000, 0.5000)
Cr (0.4479, 0.4482, 0.7215)
Cr (0.5521, 0.5518, 0.2785)
Tc (0.0000, 0.0000, 0.0000)


# BaCrTcO6

A relaxed BaCrTcO6 crystal (PBE+U, Alexandria via LeMat-Bulk).

**Total moment**: 3.00 μB per formula unit
**DFT total energy**: -7.38 eV/atom

Cell lengths 5.2582, 5.2593, 5.7027 Å; angles 90.02, 90.05, 60.01 degrees
Element x y z (fractional)
O (0.3864, 0.6008, 0.3093)
O (0.6011, 0.3865, 0.6906)
O (0.6005, 0.0126, 0.3092)
O (0.3868, 0.0126, 0.6908)
O (0.0128, 0.6008, 0.6907)
O (0.0123, 0.3866, 0.3094)
Tc (0.3333, 0.3333, 0.5000)
Cr (0.6666, 0.6667, 0.5000)
Ba (0.0000, 0.0000, 0.0000)


# Ba2CrTc3O12

A relaxed Ba2CrTc3O12 crystal (PBE+U, Alexandria via LeMat-Bulk).

**Total moment**: 6.82 μB per formula unit
**DFT total energy**: -7.40 eV/atom

Cell lengths 7.1431, 7.1431, 7.1431 Å; angles 62.02, 62.02, 62.02 degrees
Element x y z (fractional)
O (0.9417, 0.3158, 0.3158)
O (0.0583, 0.6842, 0.6842)
O (0.9274, 0.9274, 0.3256)
O (0.3158, 0.9417, 0.3158)
O (0.0726, 0.6744, 0.0726)
O (0.0726, 0.0726, 0.6744)
O (0.9274, 0.3256, 0.9274)
O (0.6842, 0.0583, 0.6842)
O (0.3256, 0.9274, 0.9274)
O (0.6744, 0.0726, 0.0726)
O (0.6842, 0.6842, 0.0583)
O (0.3158, 0.3158, 0.9417)
Ba (0.3336, 0.3336, 0.3336)
Ba (0.6664, 0.6664, 0.6664)
Tc (0.0000, 0.0000, 0.5000)
Tc (0.0000, 0.5000, 0.0000)
Tc (0.5000, 0.0000, 0.0000)
Cr (0.0000, 0.0000, 0.0000)


# Ba3CrTe2O9

A relaxed Ba3CrTe2O9 crystal (PBE+U, Alexandria via LeMat-Bulk).

**Total moment**: 3.54 μB per formula unit
**DFT total energy**: -6.23 eV/atom

Cell lengths 5.9387, 5.9387, 7.2960 Å; angles 90.00, 90.00, 120.00 degrees
Element x y z (fractional)
Te (0.3333, 0.6667, 0.1798)
Te (0.6667, 0.3333, 0.8202)
O (0.1675, 0.3349, 0.3366)
O (0.5000, 0.5000, 0.0000)
O (0.6651, 0.8325, 0.3366)
O (0.1675, 0.8325, 0.3366)
O (0.8325, 0.6651, 0.6634)
O (0.0000, 0.5000, 0.0000)
O (0.5000, 0.0000, 0.0000)
O (0.8325, 0.1675, 0.6634)
O (0.3349, 0.1675, 0.6634)
Ba (0.6667, 0.3333, 0.3342)
Ba (0.0000, 0.0000, 0.0000)
Ba (0.3333, 0.6667, 0.6658)
Cr (0.0000, 0.0000, 0.5000)


# Ba2CrTeO6

A relaxed Ba2CrTeO6 crystal (PBE+U, Alexandria via LeMat-Bulk).

**Total moment**: 2.99 μB per formula unit
**DFT total energy**: -6.46 eV/atom

Cell lengths 5.9483, 5.9483, 10.5192 Å; angles 73.58, 73.58, 60.00 degrees
Element x y z (fractional)
Cr (0.5914, 0.5914, 0.2260)
Cr (0.4086, 0.4086, 0.7740)
O (0.2958, 0.7888, 0.1267)
O (0.7042, 0.2112, 0.8733)
O (0.7888, 0.7888, 0.1267)
O (0.3911, 0.8397, 0.3782)
O (0.6089, 0.6089, 0.6218)
O (0.3911, 0.3911, 0.3782)
O (0.8397, 0.3911, 0.3782)
O (0.7888, 0.2958, 0.1267)
O (0.2112, 0.7042, 0.8733)
O (0.6089, 0.1603, 0.6218)
O (0.2112, 0.2112, 0.8733)
O (0.1603, 0.6089, 0.6218)
Ba (0.1234, 0.1234, 0.6299)
Ba (0.2894, 0.2894, 0.1319)
Ba (0.7106, 0.7106, 0.8681)
Ba (0.8766, 0.8766, 0.3701)
Te (0.0000, 0.0000, 0.0000)
Te (0.5000, 0.5000, 0.5000)


# BaCrTe2O8

A relaxed BaCrTe2O8 crystal (PBE+U, Alexandria via LeMat-Bulk).

**Total moment**: 2.03 μB per formula unit
**DFT total energy**: -5.99 eV/atom

Cell lengths 5.3184, 5.3184, 8.0717 Å; angles 70.76, 70.76, 60.00 degrees
Element x y z (fractional)
O (0.8095, 0.8095, 0.5715)
O (0.0713, 0.3485, 0.8473)
O (0.9287, 0.6515, 0.1527)
O (0.1905, 0.1905, 0.4285)
O (0.2671, 0.9287, 0.1527)
O (0.3485, 0.7329, 0.8473)
O (0.6515, 0.2671, 0.1527)
O (0.7329, 0.0713, 0.8473)
Te (0.2729, 0.2729, 0.1813)
Te (0.7271, 0.7271, 0.8187)
Ba (0.5000, 0.5000, 0.5000)
Cr (0.0000, 0.0000, 0.0000)


# Ba3ThCr2O9

A relaxed Ba3ThCr2O9 crystal (PBE+U, Alexandria via LeMat-Bulk).

**Total moment**: 3.95 μB per formula unit
**DFT total energy**: -7.35 eV/atom

Cell lengths 5.8566, 5.8566, 7.3581 Å; angles 90.00, 90.00, 120.00 degrees
Element x y z (fractional)
Cr (0.3333, 0.6667, 0.1594)
Cr (0.6667, 0.3333, 0.8406)
O (0.1787, 0.8213, 0.3120)
O (0.8213, 0.6426, 0.6879)
O (0.5000, 0.5000, 0.0000)
O (0.0000, 0.5000, 0.0000)
O (0.3574, 0.1787, 0.6879)
O (0.5000, 0.0000, 0.0000)
O (0.6426, 0.8213, 0.3120)
O (0.1787, 0.3574, 0.3120)
O (0.8213, 0.1787, 0.6879)
Th (0.0000, 0.0000, 0.5000)
Ba (0.0000, 0.0000, 0.0000)
Ba (0.3333, 0.6667, 0.6981)
Ba (0.6667, 0.3333, 0.3019)


# Ba3Ti2CrO8

A relaxed Ba3Ti2CrO8 crystal (PBE+U, Alexandria via LeMat-Bulk).

**Total moment**: 4.00 μB per formula unit
**DFT total energy**: -7.67 eV/atom

Cell lengths 5.8960, 5.8960, 7.5629 Å; angles 90.00, 90.00, 120.00 degrees
Element x y z (fractional)
O (0.6653, 0.8327, 0.3181)
O (0.8327, 0.1673, 0.6819)
O (0.8327, 0.6653, 0.6819)
O (0.1673, 0.3347, 0.3181)
O (0.6667, 0.3333, 0.0162)
O (0.1673, 0.8327, 0.3181)
O (0.3347, 0.1673, 0.6819)
O (0.3333, 0.6667, 0.9838)
Ba (0.0000, 0.0000, 0.0000)
Ba (0.6667, 0.3333, 0.3477)
Ba (0.3333, 0.6667, 0.6523)
Ti (0.3333, 0.6667, 0.2203)
Ti (0.6667, 0.3333, 0.7797)
Cr (0.0000, 0.0000, 0.5000)


# Ba2Ti4Cr2O13

A relaxed Ba2Ti4Cr2O13 crystal (PBE+U, Alexandria via LeMat-Bulk).

**Total moment**: 6.00 μB per formula unit
**DFT total energy**: -8.29 eV/atom

Cell lengths 3.9460, 7.8553, 9.2448 Å; angles 98.11, 90.00, 104.55 degrees
Element x y z (fractional)
O (0.0675, 0.1350, 0.3048)
O (0.3681, 0.7361, 0.8855)
O (0.7648, 0.5296, 0.7571)
O (0.3012, 0.6025, 0.5719)
O (0.8697, 0.7395, 0.3826)
O (0.9325, 0.8650, 0.6952)
O (0.1303, 0.2605, 0.6174)
O (0.1685, 0.3371, 0.9170)
O (0.8315, 0.6629, 0.0830)
O (0.2352, 0.4704, 0.2429)
O (0.0000, 0.0000, 0.0000)
O (0.6988, 0.3975, 0.4281)
O (0.6319, 0.2639, 0.1145)
Cr (0.2444, 0.4888, 0.7592)
Cr (0.7556, 0.5112, 0.2408)
Ba (0.5516, 0.1031, 0.7702)
Ba (0.4484, 0.8969, 0.2298)
Ti (0.1237, 0.2474, 0.0858)
Ti (0.1659, 0.3317, 0.4361)
Ti (0.8341, 0.6683, 0.5639)
Ti (0.8763, 0.7526, 0.9142)


# BaTl2CrO4

A relaxed BaTl2CrO4 crystal (PBE+U, Alexandria via LeMat-Bulk).

**Total moment**: 2.00 μB per formula unit
**DFT total energy**: -5.77 eV/atom

Cell lengths 5.6270, 8.6040, 7.6623 Å; angles 90.00, 90.00, 90.00 degrees
Element x y z (fractional)
Cr (0.5003, 0.8532, 0.5000)
Cr (0.0003, 0.1468, 0.0000)
Ba (0.9842, 0.0984, 0.5000)
Ba (0.4842, 0.9016, 0.0000)
Tl (0.9829, 0.6734, 0.2446)
Tl (0.4829, 0.3266, 0.2554)
Tl (0.4829, 0.3266, 0.7446)
Tl (0.9829, 0.6734, 0.7554)
O (0.8760, 0.2237, 0.8024)
O (0.4743, 0.0634, 0.5000)
O (0.3232, 0.1840, 0.0000)
O (0.3760, 0.7763, 0.6976)
O (0.8760, 0.2237, 0.1976)
O (0.9743, 0.9366, 0.0000)
O (0.8233, 0.8160, 0.5000)
O (0.3760, 0.7763, 0.3024)


# Ba2TlCrO5

A relaxed Ba2TlCrO5 crystal (PBE+U, Alexandria via LeMat-Bulk).

**Total moment**: 2.00 μB per formula unit
**DFT total energy**: -6.01 eV/atom

Cell lengths 3.3976, 8.6942, 9.9438 Å; angles 90.00, 90.00, 101.27 degrees
Element x y z (fractional)
Tl (0.5232, 0.0465, 0.0082)
Tl (0.4768, 0.9535, 0.5082)
O (0.2818, 0.5635, 0.6347)
O (0.7182, 0.4365, 0.8817)
O (0.7182, 0.4365, 0.1347)
O (0.1106, 0.2212, 0.0082)
O (0.5000, 0.0000, 0.2582)
O (0.8894, 0.7788, 0.5082)
O (0.2818, 0.5635, 0.3817)
O (0.5000, 0.0000, 0.7582)
O (0.3330, 0.6660, 0.0082)
O (0.6670, 0.3340, 0.5082)
Cr (0.2248, 0.4496, 0.0082)
Cr (0.7752, 0.5504, 0.5082)
Ba (0.1317, 0.2635, 0.7185)
Ba (0.1317, 0.2635, 0.2980)
Ba (0.8683, 0.7365, 0.2185)
Ba (0.8683, 0.7365, 0.7980)


# BaTlCr2O8

A relaxed BaTlCr2O8 crystal (PBE+U, Alexandria via LeMat-Bulk).

**Total moment**: 0.00 μB per formula unit
**DFT total energy**: -6.38 eV/atom

Cell lengths 5.6975, 5.6975, 8.0161 Å; angles 90.00, 90.00, 120.00 degrees
Element x y z (fractional)
O (0.6569, 0.8280, 0.7194)
O (0.6667, 0.3333, 0.0116)
O (0.3431, 0.1720, 0.2806)
O (0.1720, 0.8289, 0.7194)
O (0.3333, 0.6667, 0.9884)
O (0.1711, 0.3431, 0.7194)
O (0.8280, 0.1711, 0.2806)
O (0.8289, 0.6569, 0.2806)
Cr (0.3333, 0.6667, 0.7829)
Cr (0.6667, 0.3333, 0.2171)
Ba (0.0000, 0.0000, 0.0000)
Tl (0.0000, 0.0000, 0.5000)


# Ba2Tl2Cr3O10

A relaxed Ba2Tl2Cr3O10 crystal (PBE+U, Alexandria via LeMat-Bulk).

**Total moment**: 7.66 μB per formula unit
**DFT total energy**: -6.33 eV/atom

Cell lengths 3.9006, 3.8690, 16.8611 Å; angles 90.00, 89.99, 90.00 degrees
Element x y z (fractional)
O (0.7520, 0.7071, 0.0177)
O (0.7518, 0.2067, 0.1616)
O (0.7449, 0.7067, 0.3074)
O (0.2454, 0.2070, 0.6929)
O (0.1558, 0.2069, 0.4457)
O (0.2519, 0.2072, 0.9808)
O (0.2519, 0.7068, 0.1210)
O (0.6554, 0.7069, 0.5546)
O (0.7519, 0.2072, 0.8381)
O (0.2519, 0.7072, 0.8771)
Cr (0.7519, 0.7066, 0.1267)
Cr (0.2520, 0.7072, 0.9994)
Cr (0.2515, 0.2072, 0.8709)
Ba (0.2517, 0.2067, 0.2624)
Ba (0.7514, 0.7071, 0.7365)
Tl (0.7890, 0.7070, 0.4307)
Tl (0.2899, 0.2071, 0.5695)


# BaTmCr2O8

A relaxed BaTmCr2O8 crystal (PBE+U, Alexandria via LeMat-Bulk).

**Total moment**: 1.00 μB per formula unit
**DFT total energy**: -7.20 eV/atom

Cell lengths 5.6742, 5.6742, 7.5844 Å; angles 90.00, 90.00, 120.00 degrees
Element x y z (fractional)
O (0.3382, 0.1708, 0.3084)
O (0.1673, 0.3382, 0.6916)
O (0.8292, 0.1673, 0.3084)
O (0.8327, 0.6618, 0.3084)
O (0.6618, 0.8292, 0.6916)
O (0.1708, 0.8327, 0.6916)
O (0.6667, 0.3333, 0.0187)
O (0.3333, 0.6667, 0.9813)
Ba (0.0000, 0.0000, 0.0000)
Tm (0.0000, 0.0000, 0.5000)
Cr (0.3333, 0.6667, 0.7630)
Cr (0.6667, 0.3333, 0.2370)


# BaUCrO6

A relaxed BaUCrO6 crystal (PBE+U, Alexandria via LeMat-Bulk).

**Total moment**: 2.00 μB per formula unit
**DFT total energy**: -8.24 eV/atom

Cell lengths 5.4070, 5.5222, 5.7794 Å; angles 91.13, 90.54, 59.23 degrees
Element x y z (fractional)
Ba (0.0026, 0.9991, 0.9998)
O (0.6262, 0.3856, 0.6894)
O (0.3945, 0.6304, 0.3077)
O (0.3949, 0.9752, 0.6925)
O (0.9852, 0.6253, 0.6912)
O (0.9851, 0.3893, 0.3090)
O (0.6263, 0.9881, 0.3103)
Cr (0.6525, 0.6734, 0.4999)
U (0.3324, 0.3338, 0.5000)


# Ba3UCr2O9

A relaxed Ba3UCr2O9 crystal (PBE+U, Alexandria via LeMat-Bulk).

**Total moment**: 2.06 μB per formula unit
**DFT total energy**: -7.65 eV/atom

Cell lengths 5.8403, 5.8403, 7.2273 Å; angles 90.00, 90.00, 120.00 degrees
Element x y z (fractional)
Cr (0.6667, 0.3333, 0.8454)
Cr (0.3333, 0.6667, 0.1546)
O (0.6639, 0.8320, 0.3302)
O (0.1680, 0.8320, 0.3302)
O (0.8320, 0.1680, 0.6698)
O (0.5000, 0.0000, 0.0000)
O (0.0000, 0.5000, 0.0000)
O (0.8320, 0.6639, 0.6698)
O (0.1680, 0.3361, 0.3302)
O (0.5000, 0.5000, 0.0000)
O (0.3361, 0.1680, 0.6698)
Ba (0.3333, 0.6667, 0.6950)
Ba (0.0000, 0.0000, 0.0000)
Ba (0.6667, 0.3333, 0.3050)
U (0.0000, 0.0000, 0.5000)


# BaUCr2O8

A relaxed BaUCr2O8 crystal (PBE+U, Alexandria via LeMat-Bulk).

**Total moment**: 4.00 μB per formula unit
**DFT total energy**: -7.78 eV/atom

Cell lengths 6.1869, 6.1869, 6.1869 Å; angles 105.85, 105.85, 116.98 degrees
Element x y z (fractional)
Cr (0.5000, 0.5000, 0.0000)
Cr (0.7500, 0.2500, 0.5000)
O (0.8581, 0.6559, 0.2022)
O (0.3854, 0.0459, 0.3395)
O (0.7065, 0.0459, 0.6605)
O (0.3441, 0.1419, 0.7978)
O (0.4537, 0.6559, 0.7978)
O (0.3441, 0.5463, 0.2022)
O (0.9541, 0.2935, 0.3395)
O (0.9541, 0.6146, 0.6605)
U (0.2500, 0.7500, 0.5000)
Ba (0.0000, 0.0000, 0.0000)


# BaU2CrO8

A relaxed BaU2CrO8 crystal (PBE+U, Alexandria via LeMat-Bulk).

**Total moment**: 4.00 μB per formula unit
**DFT total energy**: -8.78 eV/atom

Cell lengths 5.2843, 5.2925, 7.0824 Å; angles 89.99, 89.99, 83.04 degrees
Element x y z (fractional)
O (0.2168, 0.7825, 0.2077)
O (0.6632, 0.6631, 0.0000)
O (0.3368, 0.3369, 0.0000)
O (0.6569, 0.6574, 0.5000)
O (0.7832, 0.2175, 0.2077)
O (0.3431, 0.3426, 0.5000)
O (0.7832, 0.2175, 0.7923)
O (0.2168, 0.7825, 0.7923)
U (0.5000, 0.5000, 0.7595)
U (0.5000, 0.5000, 0.2405)
Ba (0.0000, 0.0000, 0.5000)
Cr (0.0000, 0.0000, 0.0000)